! Sm5GeBi4, optimized geometry, DFT GGA-PBE; values from VASP
&SYSTEM
  ibrav = 0, nat = 10, ntyp = 3
/
ATOMIC_SPECIES
Bi 208.98 Bi.upf
Ge 72.64 Ge.upf
Sm 150.36 Sm.upf
CELL_PARAMETERS angstrom
6.368 0.000 0.000
3.184 7.104 0.000
3.184 0.000 7.104
ATOMIC_POSITIONS angstrom
Bi 3.190 1.488 2.823
Bi 9.558 5.617 4.281
Bi 6.374 2.823 5.617
Bi 6.374 4.281 1.488
Ge 0.008 0.000 0.000
Sm 3.190 4.388 1.329
Sm 6.374 5.775 4.388
Sm 9.558 2.717 5.775
Sm 3.193 0.000 0.000
Sm 6.374 1.329 2.717
! - Polymorph energy (0 for the lowest one): 0.000 eV per atom
! - Total energy: -52.4 eV for the cell shown
! - M_tot: 0.00 μB/atom
! - ΔE_f: -0.8641 eV/atom
! - Crystal system: tetragonal